# 1
A relaxed structure of CdPb, computed with PBE.

Properties
- Space-group type: R-3m
- Crystal system: trigonal
- ΔE_f: 0.0375 eV per atom

Cell: 3.495 3.495 10.684 Å, 80.59 80.59 60.00°
Positions (direct):
Pb: 0.880 0.880 0.361
Cd: 0.370 0.370 0.890
Cd: 0.630 0.630 0.110
Pb: 0.120 0.120 0.639

---

# 2
A relaxed structure of Cd2Pb, computed with PBE.

Properties
- Space-group type: P-1
- Crystal system: triclinic
- ΔE_f: 0.0990 eV per atom

Cell: 3.302 5.845 4.666 Å, 89.82 89.99 74.32°
Positions (direct):
Pb: 0.780 0.327 0.237
Cd: 0.136 0.611 0.735
Cd: 0.425 0.043 0.738

---

# 3
A relaxed structure of Cd2Pb, computed with PBE.

Properties
- Space-group type: Imma
- Crystal system: orthorhombic
- ΔE_f: 0.0970 eV per atom

Cell: 10.395 10.395 10.395 Å, 153.19 160.67 33.27°
Positions (direct):
Cd: 0.692 0.942 0.750
Cd: 0.308 0.058 0.250
Pb: 0.120 0.370 0.750
Pb: 0.880 0.630 0.250
Cd: 0.540 0.790 0.750
Cd: 0.460 0.210 0.250

---

# 4
A relaxed structure of CdPb8, computed with PBE.

Properties
- Space-group type: I4/mmm
- Crystal system: tetragonal
- ΔE_f: 0.0161 eV per atom

Cell: 7.940 7.940 7.940 Å, 95.31 95.31 144.59°
Positions (direct):
Pb: 0.663 0.663 0.327
Pb: 0.337 0.337 0.673
Pb: 0.669 0.000 0.669
Pb: 0.331 0.000 0.331
Pb: 0.337 0.663 0.000
Pb: 0.663 0.337 0.000
Pb: 0.000 0.669 0.669
Pb: 0.000 0.331 0.331
Cd: 0.000 0.000 0.000

---

# 5
A relaxed structure of CdPb, computed with PBE.

Properties
- Space-group type: P2_1/m
- Crystal system: monoclinic
- ΔE_f: 0.0415 eV per atom

Cell: 3.504 5.131 6.448 Å, 90.00 106.85 90.00°
Positions (direct):
Pb: 0.162 0.250 0.334
Pb: 0.838 0.750 0.666
Cd: 0.434 0.250 0.861
Cd: 0.566 0.750 0.139

---

# 6
A relaxed structure of Cd3Pb, computed with PBE.

Properties
- Space-group type: Pmmm
- Crystal system: orthorhombic
- ΔE_f: 0.0390 eV per atom

Cell: 3.219 4.677 6.723 Å, 90.00 90.00 90.00°
Positions (direct):
Cd: 0.000 0.000 0.500
Cd: 0.500 0.500 0.731
Pb: 0.000 0.000 0.000
Cd: 0.500 0.500 0.269

---

Ordered electronic total energy results: -2.27 -1.75 -1.75 -3.38 -2.27 -1.57; unit eV/atom.